Below is a relaxed structure of Mg2TaIn, with properties calculated at the PBE level.

Unit cell a=4.3837 b=4.2456 c=4.2456 alpha=90.00 beta=90.00 gamma=90.00
Closest atoms and distances in Å follow each position.
Positions (direct):
In (0.5000, 0.0000, 0.5000)  4 Ta 3.00, 8 Mg 3.05
Mg (0.0000, 0.0000, 0.0000)  4 Mg 3.00, 4 Ta 3.05, 4 In 3.05
Mg (0.0000, 0.5000, 0.5000)  4 Mg 3.00, 4 In 3.05, 4 Ta 3.05
Ta (0.5000, 0.5000, 0.0000)  4 In 3.00, 8 Mg 3.05

Computed properties:
Formation energy from the elements in kJ per mole of atoms: 17.5
Total moment in μB per cell: 0.00

---

Below is a relaxed structure of MgTa2In, with properties calculated at the PBE level.

Unit cell a=5.4463 b=5.4463 c=2.8964 alpha=90.00 beta=90.00 gamma=116.27
Closest atoms and distances in Å follow each position.
Positions (direct):
In (0.5000, 0.0000, 0.5000)  2 Mg 2.88, 2 In 2.90, 8 Ta 3.08
Mg (0.0000, 0.5000, 0.5000)  2 In 2.88, 2 Mg 2.90, 8 Ta 3.08
Ta (0.0000, 0.0000, 0.0000)  4 Ta 2.88-2.90, 4 Mg 3.08, 4 In 3.08
Ta (0.5000, 0.5000, 0.0000)  4 Ta 2.88-2.90, 4 In 3.08, 4 Mg 3.08

Computed properties:
Formation energy from the elements in kJ per mole of atoms: 22.4
Total moment in μB per cell: 0.00

---

Below is a relaxed structure of MgTaIn2, with properties calculated at the PBE level.

Unit cell a=7.7125 b=7.7125 c=6.2340 alpha=51.79 beta=51.79 gamma=90.00
Closest atoms and distances in Å follow each position.
Positions (direct):
Mg (0.5000, 0.5000, 0.0000)  4 In 2.80, 2 Ta 3.02
Mg (0.2500, 0.7500, 0.5000)  4 In 2.80, 2 Ta 3.02
In (0.6187, 0.1250, 0.2500)  2 Mg 2.80, 2 Ta 2.86, 2 In 3.02
In (0.1313, 0.6250, 0.2500)  2 Mg 2.80, 2 Ta 2.86, 2 In 3.02
In (0.3750, 0.3813, 0.7500)  2 Mg 2.80, 2 Ta 2.86, 2 In 3.02
In (0.8750, 0.8687, 0.7500)  2 Mg 2.80, 2 Ta 2.86, 2 In 3.02
Ta (0.0000, 0.0000, 0.0000)  4 In 2.86, 2 Mg 3.02
Ta (0.7500, 0.2500, 0.5000)  4 In 2.86, 2 Mg 3.02

Computed properties:
Formation energy from the elements in kJ per mole of atoms: 57.6
Total moment in μB per cell: 0.00

---

Below is a relaxed structure of MgTa2In, with properties calculated at the PBE level.

Unit cell a=2.8938 b=2.8938 c=9.2809 alpha=90.00 beta=90.00 gamma=90.00
Closest atoms and distances in Å follow each position.
Positions (direct):
In (0.5000, 0.5000, 0.2500)  4 In 2.89, 8 Ta 3.08
Mg (0.5000, 0.5000, 0.7500)  4 Mg 2.89, 8 Ta 3.11
Ta (0.0000, 0.0000, 0.0021)  4 Ta 2.89, 4 In 3.08, 4 Mg 3.11
Ta (0.0000, 0.0000, 0.4979)  4 Ta 2.89, 4 In 3.08, 4 Mg 3.11

Computed properties:
Formation energy from the elements in kJ per mole of atoms: 27.2
Total moment in μB per cell: 0.00

---

Below is a relaxed structure of MgTaIn2, with properties calculated at the PBE level.

Unit cell a=5.4375 b=5.4375 c=5.4375 alpha=134.24 beta=134.24 gamma=66.71
Closest atoms and distances in Å follow each position.
Positions (direct):
In (0.0000, 0.0000, 0.0000)  4 In 2.99, 4 Mg 3.10, 4 Ta 3.10
In (0.5000, 0.5000, 0.0000)  4 In 2.99, 4 Ta 3.10, 4 Mg 3.10
Mg (0.2500, 0.7500, 0.5000)  4 Ta 2.99, 8 In 3.10
Ta (0.7500, 0.2500, 0.5000)  4 Mg 2.99, 8 In 3.10

Computed properties:
Formation energy from the elements in kJ per mole of atoms: 20.0
Total moment in μB per cell: 0.00

---

Below is a relaxed structure of Mg2TaIn, with properties calculated at the PBE level.

Unit cell a=4.7060 b=2.9933 c=6.0411 alpha=75.60 beta=90.00 gamma=90.00
Closest atoms and distances in Å follow each position.
Positions (direct):
In (0.5000, 0.9516, 0.7199)  3 Mg 2.79-2.92, 2 In 2.99, 4 Ta 3.02
Mg (0.0000, 0.8065, 0.0147)  2 In 2.92, 3 Ta 2.97-3.25, 6 Mg 2.99-3.09
Mg (0.5000, 0.1914, 0.2431)  1 In 2.79, 6 Mg 2.99-3.09
Ta (0.0000, 0.5505, 0.5223)  7 Mg 2.97-3.25, 2 Ta 2.99, 4 In 3.02

Computed properties:
Formation energy from the elements in kJ per mole of atoms: 22.2
Total moment in μB per cell: 0.00

---

Below is a relaxed structure of MgTa2In, with properties calculated at the PBE level.

Unit cell a=4.7855 b=4.7855 c=4.7855 alpha=60.00 beta=60.00 gamma=60.00
Closest atoms and distances in Å follow each position.
Positions (direct):
In (0.5000, 0.5000, 0.5000)  4 Mg 2.93, 4 Ta 2.93
Mg (0.7500, 0.7500, 0.7500)  4 In 2.93, 4 Ta 2.93
Ta (0.0000, 0.0000, 0.0000)  4 Ta 2.93, 4 Mg 2.93
Ta (0.2500, 0.2500, 0.2500)  4 Ta 2.93, 4 In 2.93

Computed properties:
Formation energy from the elements in kJ per mole of atoms: 37.7
Total moment in μB per cell: 0.53

---

Below is a relaxed structure of MgTa2In, with properties calculated at the PBE level.

Unit cell a=2.8973 b=4.6244 c=5.7445 alpha=90.00 beta=90.00 gamma=90.00
Closest atoms and distances in Å follow each position.
Positions (direct):
In (0.5000, 0.5000, 0.2500)  2 Mg 2.87, 2 In 2.90, 8 Ta 3.10
Mg (0.5000, 0.5000, 0.7500)  2 In 2.87, 2 Mg 2.90, 8 Ta 3.07
Ta (0.0000, 0.0000, 0.9944)  4 Ta 2.81-2.94, 4 Mg 3.07, 4 In 3.10
Ta (0.0000, 0.0000, 0.5056)  4 Ta 2.81-2.94, 4 Mg 3.07, 4 In 3.10

Computed properties:
Formation energy from the elements in kJ per mole of atoms: 22.0
Total moment in μB per cell: 0.00

---

Below is a relaxed structure of MgTa2In, with properties calculated at the PBE level.

Unit cell a=7.6917 b=7.6917 c=6.1211 alpha=51.08 beta=51.08 gamma=90.00
Closest atoms and distances in Å follow each position.
Positions (direct):
Mg (0.5000, 0.5000, 0.0000)  2 In 2.81, 4 Ta 2.82
Mg (0.2500, 0.7500, 0.5000)  2 In 2.81, 4 Ta 2.82
In (0.0000, 0.0000, 0.0000)  4 Ta 2.80, 2 Mg 2.81
In (0.7500, 0.2500, 0.5000)  4 Ta 2.80, 2 Mg 2.81
Ta (0.6270, 0.1250, 0.2500)  2 In 2.80, 2 Ta 2.81, 2 Mg 2.82
Ta (0.1230, 0.6250, 0.2500)  2 In 2.80, 2 Ta 2.81, 2 Mg 2.82
Ta (0.3750, 0.3730, 0.7500)  2 In 2.80, 2 Ta 2.81, 2 Mg 2.82
Ta (0.8750, 0.8770, 0.7500)  2 In 2.80, 2 Ta 2.81, 2 Mg 2.82

Computed properties:
Formation energy from the elements in kJ per mole of atoms: 79.6
Total moment in μB per cell: 0.00

---

Below is a relaxed structure of MgTaIn2, with properties calculated at the PBE level.

Unit cell a=3.0100 b=3.0100 c=9.6745 alpha=90.00 beta=90.00 gamma=90.02
Closest atoms and distances in Å follow each position.
Positions (direct):
In (0.0000, 0.0000, 0.9752)  4 In 3.01, 4 Ta 3.08
In (0.5000, 0.5000, 0.2563)  4 In 3.01, 4 Mg 3.34
Mg (0.0000, 0.0000, 0.5229)  4 Mg 3.01, 4 Ta 3.03, 4 In 3.34
Ta (0.5000, 0.5000, 0.7456)  4 Ta 3.01, 4 Mg 3.03, 4 In 3.08

Computed properties:
Formation energy from the elements in kJ per mole of atoms: 19.3
Total moment in μB per cell: 0.00

---

Below is a relaxed structure of Mg2TaIn, with properties calculated at the PBE level.

Unit cell a=3.0060 b=5.2984 c=6.0428 alpha=57.42 beta=90.00 gamma=90.00
Closest atoms and distances in Å follow each position.
Positions (direct):
In (0.0000, 0.0000, 0.5000)  2 In 3.01, 6 Mg 3.02-3.13, 4 Ta 3.05
Mg (0.0000, 0.0000, 0.0000)  6 Mg 3.01-3.05, 2 In 3.02, 4 Ta 3.13
Mg (0.5000, 0.5000, 0.0000)  6 Mg 3.01-3.05, 2 Ta 3.02, 4 In 3.13
Ta (0.5000, 0.5000, 0.5000)  2 Ta 3.01, 6 Mg 3.02-3.13, 4 In 3.05

Computed properties:
Formation energy from the elements in kJ per mole of atoms: 14.6
Total moment in μB per cell: 0.00

---

Below is a relaxed structure of Mg2TaIn, with properties calculated at the PBE level.

Unit cell a=5.5618 b=5.5618 c=2.9582 alpha=90.00 beta=90.00 gamma=116.09
Closest atoms and distances in Å follow each position.
Positions (direct):
In (0.0000, 0.5000, 0.5000)  2 Ta 2.94, 2 In 2.96, 8 Mg 3.15
Mg (0.0000, 0.0000, 0.0000)  4 Mg 2.94-2.96, 4 Ta 3.15, 4 In 3.15
Mg (0.5000, 0.5000, 0.0000)  4 Mg 2.94-2.96, 4 In 3.15, 4 Ta 3.15
Ta (0.5000, 0.0000, 0.5000)  2 In 2.94, 2 Ta 2.96, 8 Mg 3.15

Computed properties:
Formation energy from the elements in kJ per mole of atoms: 19.0
Total moment in μB per cell: 0.00

---

Below is a relaxed structure of MgTa3In, with properties calculated at the PBE level.

Unit cell a=4.7505 b=4.7505 c=4.7505 alpha=90.00 beta=90.00 gamma=90.00
Closest atoms and distances in Å follow each position.
Positions (direct):
Mg (0.0000, 0.0000, 0.0000)  6 Ta 2.38
In (0.5000, 0.5000, 0.5000)  12 Ta 3.36
Ta (0.0000, 0.5000, 0.0000)  2 Mg 2.38
Ta (0.0000, 0.0000, 0.5000)  2 Mg 2.38
Ta (0.5000, 0.0000, 0.0000)  2 Mg 2.38

Computed properties:
Formation energy from the elements in kJ per mole of atoms: 159.9
E above lowest polymorph in meV/atom: 0
Total moment in μB per cell: 0.00

---

Below is a relaxed structure of Mg2TaIn, with properties calculated at the PBE level.

Unit cell a=7.7963 b=7.7963 c=6.2208 alpha=51.20 beta=51.20 gamma=90.00
Closest atoms and distances in Å follow each position.
Positions (direct):
Mg (0.6151, 0.1250, 0.2500)  2 In 2.80, 2 Mg 2.89, 2 Ta 2.90
Mg (0.1349, 0.6250, 0.2500)  2 In 2.80, 2 Mg 2.89, 2 Ta 2.90
Mg (0.3750, 0.3849, 0.7500)  2 In 2.80, 2 Mg 2.89, 2 Ta 2.90
Mg (0.8750, 0.8651, 0.7500)  2 In 2.80, 2 Mg 2.89, 2 Ta 2.90
In (0.5000, 0.5000, 0.0000)  4 Mg 2.80, 2 Ta 2.88
In (0.2500, 0.7500, 0.5000)  4 Mg 2.80, 2 Ta 2.88
Ta (0.0000, 0.0000, 0.0000)  2 In 2.88, 4 Mg 2.90
Ta (0.7500, 0.2500, 0.5000)  2 In 2.88, 4 Mg 2.90

Computed properties:
Formation energy from the elements in kJ per mole of atoms: 62.9
Total moment in μB per cell: 0.00

---

Below is a relaxed structure of MgTa2In, with properties calculated at the PBE level.

Unit cell a=5.3016 b=5.3016 c=5.3016 alpha=133.60 beta=133.60 gamma=67.72
Closest atoms and distances in Å follow each position.
Positions (direct):
In (0.5000, 0.5000, 0.0000)  8 Ta 2.95-3.03, 4 Mg 3.03
Mg (0.7500, 0.2500, 0.5000)  8 Ta 2.95-3.03, 4 In 3.03
Ta (0.0000, 0.0000, 0.0000)  4 In 2.95, 4 Ta 3.03, 4 Mg 3.03
Ta (0.2500, 0.7500, 0.5000)  4 Mg 2.95, 4 Ta 3.03, 4 In 3.03

Computed properties:
Formation energy from the elements in kJ per mole of atoms: 28.2
Total moment in μB per cell: 0.00